## ScAg (GGA-PBE)

Data for a relaxed ScAg crystal.

N(E_F) (states/eV per cell): 4.3
Formation enthalpy at 0 K (kcal/mol of atoms): 0.02

a b c (Å): 3.192 3.192 9.574
angles (deg): 90.00 90.00 120.00
Fractional positions:
Sc 0.333 0.667 0.365
Sc 0.667 0.333 0.635
Ag 0.333 0.667 0.880
Ag 0.667 0.333 0.120